Computed, not measured: a geometry-optimized KAlC2N structure at the GGA-PBEsol level of DFT.

Cell: 4.5436 4.5945 4.5945 Å, 90.00 90.00 90.00°
Last column: nearest neighbours and their distance in Å.
Element x y z (fractional)
1 C 0.0000 0.0000 0.5000  2 K 2.30
2 C 0.0000 0.5000 0.0000  2 K 2.30
3 K 0.0000 0.0000 0.0000  2 N 2.27, 4 C 2.30
4 Al 0.5000 0.5000 0.5000  8 C 3.23, 4 N 3.25
5 N 0.5000 0.0000 0.0000  2 K 2.27

Values from the calculation:
The value obtained for the magnetic moment is 5.00 μB/f.u. Its uncorrected formation energy is 3.843 eV/atom. The calculation puts the calculated total energy at -0.102 hartree per atom.